w.
Entry from Alexandria: a relaxed structure of NbSbTe2Pt (GGA-PBE).

```
NbSbTe2Pt
1.0
5.260 0.000 0.000
0.000 5.260 0.000
0.000 0.000 5.085
Nb Sb Te Pt
1 1 2 1
Cartesian
0.000 0.000 0.000 Nb
2.630 2.630 0.000 Sb
0.000 2.630 2.542 Te
2.630 0.000 2.542 Te
2.630 2.630 2.542 Pt
```

symmetry: P4/mmm, No. 123
volume: 140.7 Å³/f.u.
spin magnetization: 0.0 μB/cell



x.
Entry from Alexandria: a relaxed structure of NbSbTe2Pt (GGA-PBE).

```
NbSbTe2Pt
1.0
5.268 0.000 0.000
0.000 5.268 0.000
0.000 0.000 5.345
Nb Sb Te Pt
1 1 2 1
Cartesian
0.000 0.000 0.000 Nb
0.000 0.000 2.673 Sb
0.000 2.634 0.000 Te
2.634 0.000 0.000 Te
2.634 2.634 2.673 Pt
```

symmetry: P4/mmm, No. 123
volume: 148.4 Å³/f.u.
spin magnetization: 0.0 μB/cell



It is x that is the most stable of them.



w.
Entry from Alexandria: a relaxed structure of Sc2NbPt (GGA-PBE).

```
Sc2NbPt
1.0
7.562 0.000 0.000
0.000 7.562 0.000
0.000 0.000 5.747
Sc Nb Pt
8 4 4
Cartesian
1.623 5.672 0.718 Sc
1.891 1.623 5.029 Sc
1.891 2.158 2.155 Sc
2.158 5.672 3.592 Sc
5.404 1.891 3.592 Sc
5.672 5.404 2.155 Sc
5.672 5.939 5.029 Sc
5.939 1.891 0.718 Sc
0.000 0.000 2.874 Nb
0.000 3.781 4.310 Nb
3.781 0.000 1.437 Nb
3.781 3.781 0.000 Nb
0.000 0.000 0.000 Pt
0.000 3.781 1.437 Pt
3.781 0.000 4.310 Pt
3.781 3.781 2.874 Pt
```

symmetry: I-42d, No. 122
volume: 82.2 Å³/f.u.
spin magnetization: 0.0 μB/cell



x.
Entry from Alexandria: a relaxed structure of Sc2NbPt (GGA-PBE).

```
Sc2NbPt
1.0
6.713 0.000 0.000
0.000 6.713 0.000
0.000 0.000 6.713
Sc Nb Pt
8 4 4
Cartesian
1.678 1.678 1.678 Sc
1.678 1.678 5.034 Sc
1.678 5.034 1.678 Sc
1.678 5.034 5.034 Sc
5.034 1.678 1.678 Sc
5.034 1.678 5.034 Sc
5.034 5.034 1.678 Sc
5.034 5.034 5.034 Sc
0.000 0.000 0.000 Nb
0.000 3.356 3.356 Nb
3.356 0.000 3.356 Nb
3.356 3.356 0.000 Nb
0.000 0.000 3.356 Pt
0.000 3.356 0.000 Pt
3.356 0.000 0.000 Pt
3.356 3.356 3.356 Pt
```

symmetry: Fm-3m, No. 225
volume: 75.6 Å³/f.u.
spin magnetization: 10.9 μB/cell



It is x that is the most stable of them.



w.
Entry from Alexandria: a relaxed structure of Sc2NbPt (GGA-PBE).

```
Sc2NbPt
1.0
3.253 0.000 0.000
0.000 3.253 0.000
0.000 0.000 7.235
Sc Nb Pt
2 1 1
Cartesian
0.000 0.000 1.628 Sc
0.000 0.000 5.606 Sc
1.626 1.626 3.617 Nb
1.626 1.626 0.000 Pt
```

symmetry: P4/mmm, No. 123
volume: 76.6 Å³/f.u.
spin magnetization: 0.0 μB/cell



x.
Entry from Alexandria: a relaxed structure of Sc2NbPt (GGA-PBE).

```
Sc2NbPt
1.0
3.067 0.000 0.000
-1.534 2.656 0.000
0.000 0.000 29.613
Sc Nb Pt
6 3 3
Cartesian
0.000 0.000 2.541 Sc
0.000 0.000 27.072 Sc
0.000 1.771 17.201 Sc
0.000 1.771 22.283 Sc
1.534 0.885 7.330 Sc
1.534 0.885 12.412 Sc
0.000 0.000 14.807 Nb
0.000 1.771 4.936 Nb
1.534 0.885 24.678 Nb
0.000 0.000 0.000 Pt
0.000 1.771 19.742 Pt
1.534 0.885 9.871 Pt
```

symmetry: R-3m, No. 166
volume: 80.4 Å³/f.u.
spin magnetization: 0.0 μB/cell



It is w that is the most stable of them.



w.
Entry from Alexandria: a relaxed structure of ScNb2Pt2 (GGA-PBE).

```
ScNb2Pt2
1.0
8.073 0.000 0.000
0.000 8.073 0.000
0.000 0.000 2.813
Sc Nb Pt
2 4 4
Cartesian
0.000 0.000 0.000 Sc
4.037 4.037 0.000 Sc
0.968 3.069 0.000 Nb
3.069 7.106 0.000 Nb
5.004 0.968 0.000 Nb
7.106 5.004 0.000 Nb
1.417 5.454 1.406 Pt
2.620 1.417 1.406 Pt
5.454 6.656 1.406 Pt
6.656 2.620 1.406 Pt
```

symmetry: P4/mbm, No. 127
volume: 91.7 Å³/f.u.
spin magnetization: 1.0 μB/cell



x.
Entry from Alexandria: a relaxed structure of ScNb2Pt2 (GGA-PBE).

```
ScNb2Pt2
1.0
7.493 0.000 0.000
0.000 7.493 0.000
0.000 0.000 3.286
Sc Nb Pt
2 4 4
Cartesian
0.000 0.000 0.000 Sc
3.746 3.746 0.000 Sc
1.301 2.445 1.643 Nb
2.445 6.192 1.643 Nb
5.048 1.301 1.643 Nb
6.192 5.048 1.643 Nb
0.952 4.698 0.000 Pt
2.795 0.952 0.000 Pt
4.698 6.541 0.000 Pt
6.541 2.795 0.000 Pt
```

symmetry: P4/mbm, No. 127
volume: 92.3 Å³/f.u.
spin magnetization: 0.0 μB/cell



It is x that is the most stable of them.



w.
Entry from Alexandria: a relaxed structure of Sc2Nb2Pt (GGA-PBE).

```
Sc2Nb2Pt
1.0
6.780 0.000 0.000
0.000 6.780 0.000
0.000 0.000 4.418
Sc Nb Pt
4 4 2
Cartesian
1.047 2.343 0.000 Sc
2.343 5.733 0.000 Sc
4.436 1.047 0.000 Sc
5.733 4.436 0.000 Sc
0.963 4.353 2.209 Nb
2.427 0.963 2.209 Nb
4.353 5.816 2.209 Nb
5.816 2.427 2.209 Nb
0.000 0.000 0.000 Pt
3.390 3.390 0.000 Pt
```

symmetry: P4/mbm, No. 127
volume: 101.5 Å³/f.u.
spin magnetization: 0.0 μB/cell



x.
Entry from Alexandria: a relaxed structure of Sc2Nb2Pt (GGA-PBE).

```
Sc2Nb2Pt
1.0
3.599 0.000 0.000
0.000 3.599 0.000
0.000 0.000 16.579
Sc Nb Pt
4 4 2
Cartesian
0.000 0.000 1.493 Sc
0.000 0.000 15.086 Sc
1.799 1.799 6.796 Sc
1.799 1.799 9.783 Sc
0.000 1.799 4.145 Nb
0.000 1.799 12.434 Nb
1.799 0.000 4.145 Nb
1.799 0.000 12.434 Nb
0.000 0.000 8.290 Pt
1.799 1.799 0.000 Pt
```

symmetry: I4/mmm, No. 139
volume: 107.4 Å³/f.u.
spin magnetization: 0.0 μB/cell



It is w that is the most stable of them.



w.
Entry from Alexandria: a relaxed structure of NbPtSe4 (GGA-PBE).

```
NbPtSe4
1.0
3.591 0.000 0.000
0.000 6.107 0.000
-1.779 -1.561 6.603
Nb Pt Se
1 1 4
Cartesian
0.000 0.000 0.000 Nb
1.795 2.505 0.074 Pt
0.000 1.723 1.782 Se
0.016 -0.922 4.839 Se
1.795 4.726 1.404 Se
1.811 2.134 5.321 Se
```

symmetry: P1, No. 1
volume: 144.8 Å³/f.u.
spin magnetization: 0.0 μB/cell



x.
Entry from Alexandria: a relaxed structure of NbPtSe4 (GGA-PBE).

```
NbPtSe4
1.0
7.345 0.000 0.000
0.000 5.502 0.000
-3.669 0.000 6.517
Nb Pt Se
2 2 8
Cartesian
0.000 0.000 0.000 Nb
-1.835 2.751 3.258 Nb
1.838 0.000 3.258 Pt
3.672 2.751 0.000 Pt
-1.729 1.273 5.340 Se
0.106 1.478 2.081 Se
1.668 3.947 1.216 Se
-0.167 4.306 4.475 Se
3.842 1.196 2.042 Se
2.008 1.555 5.301 Se
3.570 4.024 4.436 Se
5.405 4.229 1.177 Se
```

symmetry: P2_1/c, No. 14
volume: 131.7 Å³/f.u.
spin magnetization: 0.0 μB/cell



It is w that is the most stable of them.